Here is RbBaMoO4 after structural relaxation from the Alexandria database. Energies are from PBE+U.

abc: 6.9304 6.3542 8.0988
angles: 90.00 93.86 90.00
With the nearest neighbours (Å) after each atom.
Fractional coordinates of all 14 atoms:
Rb 0.1421 0.2500 0.3735  4 O 2.81-2.95
Rb 0.8579 0.7500 0.6265  4 O 2.81-2.95
Ba 0.3171 0.2500 0.9152  5 O 2.64-2.85
Ba 0.6829 0.7500 0.0848  5 O 2.64-2.85
Mo 0.1868 0.7500 0.1422  4 O 1.83-1.90
Mo 0.8132 0.2500 0.8578  4 O 1.83-1.90
O 0.0175 0.7500 0.3105  1 Mo 1.86
O 0.0800 0.7500 0.9292  1 Mo 1.83
O 0.3647 0.5219 0.1611  1 Mo 1.90
O 0.3647 0.9781 0.1611  1 Mo 1.90
O 0.6353 0.0219 0.8389  1 Mo 1.90
O 0.6353 0.4781 0.8389  1 Mo 1.90
O 0.9200 0.2500 0.0708  1 Mo 1.83
O 0.9825 0.2500 0.6895  1 Mo 1.86

Computed properties:
raw total energy = -87.691 eV for the cell shown